# BaMnO3

A relaxed structure of BaMnO3 (PBE with a Hubbard U, Alexandria via LeMat-Bulk).

Computed properties:
Its electronic total energy is -6.894 eV/atom. Its space group is R-3m (166).

Cell: 7.8926 7.8926 7.8926 Å, 42.84 42.84 42.84°
Element x y z (fractional)
Ba1 0.0000 0.0000 0.0000
Ba2 0.2208 0.2208 0.2208
Ba3 0.7792 0.7792 0.7792
Mn1 0.3812 0.3812 0.3812
Mn2 0.5000 0.5000 0.5000
Mn3 0.6188 0.6188 0.6188
O1 0.0000 0.5000 0.5000
O2 0.2642 0.7055 0.7055
O3 0.2945 0.2945 0.7358
O4 0.2945 0.7358 0.2945
O5 0.5000 0.0000 0.5000
O6 0.5000 0.5000 0.0000
O7 0.7055 0.2642 0.7055
O8 0.7055 0.7055 0.2642
O9 0.7358 0.2945 0.2945